No. 1
Tc4C3, optimized geometry, DFT PBE; N(E_F) = 7.27 states/eV/f.u.; density = 8.00 Mg/m³; formation energy = 0.68 eV/atom; V = 12.70 Å³ per atom; energy relative to the lowest polymorph listed for this composition = 179 meV/atom
1.0
4.4627 0.0000 0.0000
0.0000 4.4627 0.0000
0.0000 0.0000 4.4627
Tc C
4 3
Cartesian
1.0464 3.4163 1.0464 Tc
3.4163 1.0464 1.0464 Tc
3.4163 3.4163 3.4163 Tc
1.0464 1.0464 3.4163 Tc
2.2313 0.0000 2.2313 C
2.2313 2.2313 0.0000 C
0.0000 2.2313 2.2313 C

***

No. 2
TcC2, optimized geometry, DFT PBE; N(E_F) = 1.67 states/eV/f.u.; density = 7.37 Mg/m³; formation energy = 1.22 eV/atom; V = 9.17 Å³ per atom; energy relative to the lowest polymorph listed for this composition = 760 meV/atom
1.0
3.3636 0.2722 6.0621
-3.5078 2.6535 -5.3658
-2.3214 -0.4256 1.3072
Tc C
2 4
Cartesian
-4.2936 2.0033 -2.7965 Tc
1.8279 0.4969 4.8001 Tc
-0.1140 0.5548 4.1545 C
-1.9615 1.1951 1.0819 C
-2.3517 1.9453 -2.1510 C
-0.5041 1.3051 0.9217 C

***

No. 3
TcC2, optimized geometry, DFT PBE; N(E_F) = 1.39 states/eV/f.u.; density = 7.47 Mg/m³; formation energy = 0.73 eV/atom; V = 9.04 Å³ per atom; energy relative to the lowest polymorph listed for this composition = 273 meV/atom
1.0
1.3329 5.3896 -0.0049
-1.3329 5.3896 -0.0049
0.0000 0.2858 3.7747
Tc C
2 4
Cartesian
0.0000 1.5402 3.6955 Tc
0.0000 9.5249 0.0695 Tc
0.0000 8.4280 2.1786 C
0.0000 5.5723 1.1643 C
0.0000 5.4927 2.6007 C
0.0000 2.6370 1.5864 C